# 1
# Nb2TlSe GGA-PBE optimized geometry
# Energy relative to the lowest polymorph listed for this composition, eV per formula unit: 0.00
# Formation energy (no corrections), eV per atom: 0.237
data_Nb2TlSe
_symmetry_space_group_name_H-M 'F m -3 m'
_symmetry_Int_Tables_number 225
_symmetry_space_group_name_Hall '-F 4 2 3'
_cell_length_a 6.7103
_cell_length_b 6.7103
_cell_length_c 6.7103
_cell_angle_alpha 90.00
_cell_angle_beta 90.00
_cell_angle_gamma 90.00
loop_
_atom_site_label
_atom_site_fract_x
_atom_site_fract_y
_atom_site_fract_z
Nb1 0.2500 0.2500 0.2500
Tl1 0.0000 0.0000 0.0000
Se1 0.0000 0.0000 0.5000

=====

# 2
# CsGaIBr2 GGA-PBE optimized geometry
# Formation energy (no corrections), eV per atom: -1.030
data_CsGaIBr2
_symmetry_space_group_name_H-M 'P 4/m m m'
_symmetry_Int_Tables_number 123
_symmetry_space_group_name_Hall '-P 4 2'
_cell_length_a 5.5949
_cell_length_b 5.5949
_cell_length_c 5.7918
_cell_angle_alpha 90.00
_cell_angle_beta 90.00
_cell_angle_gamma 90.00
loop_
_atom_site_label
_atom_site_fract_x
_atom_site_fract_y
_atom_site_fract_z
Cs1 0.0000 0.0000 0.0000
Ga1 0.5000 0.5000 0.5000
I1 0.5000 0.5000 0.0000
Br1 0.0000 0.5000 0.5000

=====

# 3
# Rb5PbBr8 GGA-PBE optimized geometry
# Formation energy (no corrections), eV per atom: -1.385
data_Rb5PbBr8
_symmetry_space_group_name_H-M 'I -4'
_symmetry_Int_Tables_number 82
_symmetry_space_group_name_Hall 'I -4'
_cell_length_a 10.1819
_cell_length_b 10.1819
_cell_length_c 10.2143
_cell_angle_alpha 90.00
_cell_angle_beta 90.00
_cell_angle_gamma 90.00
loop_
_atom_site_label
_atom_site_fract_x
_atom_site_fract_y
_atom_site_fract_z
Rb1 0.0000 0.0000 0.0000
Rb2 0.1199 0.7598 0.6334
Pb1 0.0000 0.5000 0.2500
Br1 0.0603 0.6543 0.9672
Br2 0.0770 0.7984 0.2965

=====

# 4
# Cd2PbW2 GGA-PBE optimized geometry
# Energy relative to the lowest polymorph listed for this composition, eV per formula unit: 0.00
data_Cd2PbW2
_symmetry_space_group_name_H-M 'P 4/m b m'
_symmetry_Int_Tables_number 127
_symmetry_space_group_name_Hall '-P 4 2ab'
_cell_length_a 7.0813
_cell_length_b 7.0813
_cell_length_c 4.2592
_cell_angle_alpha 90.00
_cell_angle_beta 90.00
_cell_angle_gamma 90.00
loop_
_atom_site_label
_atom_site_fract_x
_atom_site_fract_y
_atom_site_fract_z
Cd1 0.1699 0.3301 0.0000
Pb1 0.0000 0.0000 0.5000
W1 0.1212 0.6212 0.5000